(1)
This record from Alexandria via LeMat-Bulk describes an optimized crystal structure of LaZnCu3. The functional is GGA-PBE.

It has space group P1 (No. 1), with a = 4.3226 Å, b = 4.3243 Å, c = 5.6814 Å, α = 68.14°, β = 67.96° and γ = 89.50°. The inequivalent atoms are La at (0.0000, 0.0000, 0.0000), Zn at (0.3714, 0.3744, 0.2600), Cu at (0.2407, 0.7529, 0.5104), Cu at (0.6215, 0.6173, 0.7547) and Cu at (0.7489, 0.2349, 0.5101).

For the total moment, the calculation gives 0.000 μB per atom. For the formation energy, the calculation gives -0.88 eV/f.u. The crystal system is triclinic. The calculation puts the calculated total energy at -3.873 eV/atom. As for the density of states at the Fermi level: 2.1 states/eV per cell. Its calculated density is 7.26 g/cm3.

---

(2)
This record from Alexandria via LeMat-Bulk describes an optimized crystal structure of Sr4In3Pd. The functional is GGA-PBE.

It has space group Pmm2 (No. 25), with a = 4.5786 Å, b = 4.8814 Å, c = 12.2673 Å, α = 90.00°, β = 90.00° and γ = 90.00°. The inequivalent atoms are Sr at (0.0000, 0.0000, 0.0000), Sr at (0.0000, 0.5000, 0.2721), Sr at (0.5000, 0.0000, 0.4744), Sr at (0.5000, 0.5000, 0.7795), In at (0.0000, 0.0000, 0.7027), In at (0.0000, 0.5000, 0.5565), In at (0.5000, 0.5000, 0.0730) and Pd at (0.5000, 0.0000, 0.1884).

For the total moment, the calculation gives 0.000 μB per atom. For the formation energy, the calculation gives -3.69 eV/f.u. The crystal system is orthorhombic. The calculation puts the calculated total energy at -2.978 eV/atom. As for the density of states at the Fermi level: 5.2 states/eV per cell. Its calculated density is 4.85 g/cm3.